ZnCoW2 | PBE | optimized geometry

abc: 2.715 2.715 7.684
angles: 90.00 90.00 90.00
Element x y z (fractional)
Zn 0.000 0.000 0.000
Co 0.500 0.500 0.218
W 0.000 0.000 0.437
W 0.500 0.500 0.732

Output
space group: No. 99
E_form: 11.78 kJ per mole of atoms
size of the total moment: 0.00 μB per formula unit
E_tot: -8.45 eV/atom
crystal system: tetragonal

NaY2ScSn | PBE | optimized geometry

abc: 5.837 5.837 5.502
angles: 90.00 90.00 90.00
Element x y z (fractional)
Na 0.000 0.000 0.000
Y 0.000 0.500 0.500
Y 0.500 0.000 0.500
Sc 0.500 0.500 0.000
Sn 0.500 0.500 0.500

Output
space group: No. 123
E_form: 24.81 kJ per mole of atoms
size of the total moment: 2.37 μB per formula unit
E_tot: -4.66 eV/atom
crystal system: tetragonal

TiAlV3 | PBE | optimized geometry

abc: 4.457 4.457 4.457
angles: 90.00 90.00 90.00
Element x y z (fractional)
Ti 0.000 0.000 0.000
Al 0.500 0.500 0.500
V 0.000 0.500 0.500
V 0.500 0.000 0.500
V 0.500 0.500 0.000

Output
energy above the most stable polymorph in this dataset: 1156 meV/atom
space group: No. 221
E_form: 111.69 kJ per mole of atoms
size of the total moment: 0.00 μB per formula unit
E_tot: -6.64 eV/atom
crystal system: cubic

K2NaIn2 | PBE | optimized geometry

abc: 10.761 10.761 3.433
angles: 90.00 90.00 90.00
Element x y z (fractional)
K 0.193 0.307 0.000
K 0.307 0.807 0.000
K 0.693 0.193 0.000
K 0.807 0.693 0.000
Na 0.000 0.000 0.000
Na 0.500 0.500 0.000
In 0.099 0.599 0.500
In 0.401 0.099 0.500
In 0.599 0.901 0.500
In 0.901 0.401 0.500

Output
energy above the most stable polymorph in this dataset: 129 meV/atom
space group: No. 127
E_form: 6.73 kJ per mole of atoms
size of the total moment: 0.00 μB per formula unit
E_tot: -1.73 eV/atom
crystal system: tetragonal

LaReP2 | PBE | optimized geometry

abc: 4.427 4.439 7.023
angles: 90.00 90.00 90.00
Element x y z (fractional)
La 0.000 0.000 0.000
La 0.500 0.500 0.000
Re 0.000 0.000 0.500
Re 0.500 0.500 0.500
P 0.000 0.500 0.306
P 0.000 0.500 0.694
P 0.500 0.000 0.306
P 0.500 0.000 0.694

Output
energy above the most stable polymorph in this dataset: 432 meV/atom
space group: No. 65
E_form: -34.92 kJ per mole of atoms
size of the total moment: 0.00 μB per formula unit
E_tot: -7.41 eV/atom
crystal system: orthorhombic

DyHo5Ge4 | PBE | optimized geometry

abc: 7.965 7.965 6.877
angles: 90.03 90.03 35.98
Element x y z (fractional)
Dy 0.000 0.000 0.000
Ho 0.000 0.000 0.500
Ho 0.335 0.335 0.006
Ho 0.335 0.335 0.493
Ho 0.665 0.665 0.507
Ho 0.665 0.665 0.994
Ge 0.179 0.179 0.750
Ge 0.489 0.489 0.749
Ge 0.511 0.511 0.251
Ge 0.821 0.821 0.250

Output
space group: No. 12
E_form: -61.09 kJ per mole of atoms
size of the total moment: 0.00 μB per formula unit
E_tot: -5.23 eV/atom
crystal system: monoclinic

Ta3SnOs | PBE | optimized geometry

abc: 4.870 4.870 4.870
angles: 90.00 90.00 90.00
Element x y z (fractional)
Ta 0.000 0.000 0.500
Ta 0.000 0.500 0.000
Ta 0.500 0.000 0.000
Sn 0.500 0.500 0.500
Os 0.000 0.000 0.000

Output
space group: No. 221
E_form: 92.13 kJ per mole of atoms
size of the total moment: 0.00 μB per formula unit
E_tot: -9.20 eV/atom
crystal system: cubic

PmHfNi4 | PBE | optimized geometry

abc: 5.029 5.029 5.029
angles: 60.00 60.00 60.00
Element x y z (fractional)
Pm 0.000 0.000 0.000
Hf 0.250 0.250 0.250
Ni 0.128 0.624 0.624
Ni 0.624 0.128 0.624
Ni 0.624 0.624 0.128
Ni 0.624 0.624 0.624

Output
space group: No. 216
E_form: -31.53 kJ per mole of atoms
size of the total moment: 0.00 μB per formula unit
E_tot: -6.63 eV/atom
crystal system: cubic

Ho2LuTi | PBE | optimized geometry

abc: 3.390 3.390 9.315
angles: 90.00 90.00 90.00
Element x y z (fractional)
Ho 0.000 0.000 0.222
Ho 0.000 0.000 0.778
Lu 0.500 0.500 0.500
Ti 0.500 0.500 0.000

Output
space group: No. 123
E_form: 15.41 kJ per mole of atoms
size of the total moment: 0.00 μB per formula unit
E_tot: -5.23 eV/atom
crystal system: tetragonal

Ho2InPt | PBE | optimized geometry

abc: 3.507 3.507 7.734
angles: 90.00 90.00 90.00
Element x y z (fractional)
Ho 0.000 0.000 0.218
Ho 0.000 0.000 0.782
In 0.500 0.500 0.500
Pt 0.500 0.500 0.000

Output
energy above the most stable polymorph in this dataset: 0 meV/atom
space group: No. 123
E_form: -83.38 kJ per mole of atoms
size of the total moment: 0.00 μB per formula unit
E_tot: -5.35 eV/atom
crystal system: tetragonal

Sr4Ac2Pd | PBE | optimized geometry

abc: 5.883 5.883 19.563
angles: 90.00 90.00 90.00
Element x y z (fractional)
Sr 0.000 0.000 0.159
Sr 0.000 0.000 0.841
Sr 0.000 0.500 0.000
Sr 0.000 0.500 0.500
Sr 0.500 0.000 0.000
Sr 0.500 0.000 0.500
Sr 0.500 0.500 0.341
Sr 0.500 0.500 0.659
Ac 0.000 0.000 0.362
Ac 0.000 0.000 0.638
Ac 0.500 0.500 0.138
Ac 0.500 0.500 0.862
Pd 0.000 0.000 0.000
Pd 0.500 0.500 0.500

Output
space group: No. 139
E_form: 12.89 kJ per mole of atoms
size of the total moment: 0.00 μB per formula unit
E_tot: -2.74 eV/atom
crystal system: tetragonal

KSc2Cu | PBE | optimized geometry

abc: 3.633 3.633 30.972
angles: 90.00 90.00 120.00
Element x y z (fractional)
K 0.000 0.000 0.000
K 0.333 0.667 0.667
K 0.667 0.333 0.333
Sc 0.000 0.000 0.219
Sc 0.000 0.000 0.781
Sc 0.333 0.667 0.448
Sc 0.333 0.667 0.885
Sc 0.667 0.333 0.115
Sc 0.667 0.333 0.552
Cu 0.000 0.000 0.500
Cu 0.333 0.667 0.167
Cu 0.667 0.333 0.833

Output
energy above the most stable polymorph in this dataset: 118 meV/atom
space group: No. 166
E_form: 29.49 kJ per mole of atoms
size of the total moment: 0.01 μB per formula unit
E_tot: -4.16 eV/atom
crystal system: trigonal

Question: Among the records above, which one has the highest E_form?
Answer: TiAlV3

Question: Which formula does entry 3 have?
Answer: TiAlV3

Question: Which value of size of the total moment does entry 9 give?
Answer: 0.00 μB per formula unit

Question: E_tot of number 12 (KSc2Cu)?
Answer: -4.16 eV/atom